Record 1
LaCo: optimized geometry, PBE-GGA.

Properties
Its total magnetic moment is 0.00 μB/f.u. The calculation puts the formation energy at -0.13 eV/f.u.

Cell: 6.015 6.366 9.018 Å, 90.00 90.00 90.00°
Space group P2_12_12_1 (No. 19)
Asymmetric unit:
La: 0.101 0.092 0.464 [4 per cell]
La: 0.138 0.647 0.654 [4 per cell]
Co: 0.134 0.586 0.373 [4 per cell]
Co: 0.164 0.871 0.214 [4 per cell]

---

Record 2
ZrTaMoPd: optimized geometry, PBE-GGA.

Properties
Its total magnetic moment is 0.00 μB/f.u. The calculation puts the formation energy at -0.93 eV/f.u.

Cell: 6.563 6.563 6.563 Å, 90.00 90.00 90.00°
Space group F-43m (No. 216)
Asymmetric unit:
Zr: 0.000 0.000 0.000 [4 per cell]
Ta: 0.000 0.000 0.500 [4 per cell]
Mo: 0.250 0.250 0.750 [4 per cell]
Pd: 0.250 0.250 0.250 [4 per cell]